Entry 1:
# Tb2Pm2NdDy

Tb2Pm2NdDy after structural relaxation (PBE-GGA, Alexandria).

Properties
D(E_F)   10.22 states/eV/f.u.
ΔH_f (0 K)   1.568 eV/f.u.

```
Tb2Pm2NdDy
1.0
3.4122 0.0000 0.0000
0.0000 6.6578 0.0000
0.0000 0.0000 18.0026
Tb Pm Nd Dy
4 4 2 2
direct
0.5000 0.7698 0.3523
0.5000 0.2302 0.6477
0.0000 0.7302 0.8523
0.0000 0.2698 0.1477
0.5000 0.2683 0.3156
0.0000 0.7683 0.1844
0.5000 0.7317 0.6844
0.0000 0.2317 0.8156
0.5000 0.5000 0.0000
0.0000 0.0000 0.5000
0.0000 0.0000 0.0000
0.5000 0.5000 0.5000
```

---

Entry 2:
# TbPm2Nd2Dy4

TbPm2Nd2Dy4 after structural relaxation (PBE-GGA, Alexandria).

Properties
D(E_F)   11.97 states/eV/f.u.
ΔH_f (0 K)   0.026 eV/f.u.

```
TbPm2Nd2Dy4
1.0
3.6311 0.0000 0.0000
-1.8156 9.4087 -0.5021
0.0000 -3.7248 8.9096
Tb Pm Nd Dy
1 2 2 4
direct
0.0000 0.0000 0.0000
0.8528 0.7057 0.3368
0.1472 0.2943 0.6632
0.3345 0.6691 0.9987
0.6655 0.3309 0.0013
0.8151 0.6303 0.6646
0.1849 0.3697 0.3354
0.5192 0.0383 0.3320
0.4808 0.9617 0.6680
```